Record 1
Density functional theory data (GGA-PBE) for an optimized crystal structure of Na2CeCuSe4.

Results
Space group = C2/c
Uncorrected energy = -4.32 eV per atom

Unit cell a=8.0259 b=8.0259 c=8.3838 alpha=118.94 beta=118.94 gamma=88.78
With the nearest neighbours (Å) after each atom.
Fractional coordinates of all 16 atoms:
1 Na 0.0000 0.0000 0.0000  6 Se 2.94-3.21
2 Na 0.0000 0.0000 0.5000  6 Se 2.94-3.21
3 Na 0.0000 0.5000 0.0000  4 Se 2.86-2.90
4 Na 0.5000 0.0000 0.5000  4 Se 2.86-2.90
5 Ce 0.0000 0.5000 0.5000  6 Se 2.80-2.94
6 Ce 0.5000 0.0000 0.0000  6 Se 2.80-2.94
7 Cu 0.5000 0.5000 0.0000  4 Se 2.53-2.57
8 Cu 0.5000 0.5000 0.5000  4 Se 2.53-2.57
9 Se 0.2606 0.7169 0.9748  1 Cu 2.57, 1 Ce 2.87
10 Se 0.2636 0.2690 0.4728  1 Cu 2.53, 1 Ce 2.80
11 Se 0.2690 0.2636 0.9728  1 Cu 2.53, 1 Ce 2.80
12 Se 0.2831 0.7394 0.5252  1 Cu 2.57, 1 Ce 2.87
13 Se 0.7169 0.2606 0.4748  1 Cu 2.57, 1 Ce 2.87
14 Se 0.7310 0.7364 0.0272  1 Cu 2.53, 1 Ce 2.80
15 Se 0.7364 0.7310 0.5272  1 Cu 2.53, 1 Ce 2.80
16 Se 0.7394 0.2831 0.0252  1 Cu 2.57, 1 Ce 2.87

=====

Record 2
Density functional theory data (GGA-PBE) for an optimized crystal structure of Ce2NbCu.

Results
Space group = R-3m
Uncorrected energy = -6.13 eV per atom
ΔH_f (0 K) = 374 meV per atom

Unit cell a=10.9987 b=10.9987 c=10.9987 alpha=15.55 beta=15.55 gamma=15.55
With the nearest neighbours (Å) after each atom.
Fractional coordinates of all 4 atoms:
1 Ce 0.0890 0.0890 0.0890  1 Nb 2.90, 6 Ce 2.98, 3 Cu 3.06
2 Ce 0.9110 0.9110 0.9110  1 Nb 2.90, 6 Ce 2.98, 3 Cu 3.06
3 Nb 0.0000 0.0000 0.0000  2 Ce 2.90, 6 Nb 2.98
4 Cu 0.5000 0.5000 0.5000  6 Cu 2.98, 6 Ce 3.06

=====

Record 3
Density functional theory data (GGA-PBE) for an optimized crystal structure of Sr4CeNd3Nb2Cu4O20.

Results
Space group = Amm2
Uncorrected energy = -7.22 eV per atom

Unit cell a=5.5962 b=14.7885 c=14.7885 alpha=21.81 beta=90.00 gamma=90.00
With the nearest neighbours (Å) after each atom.
Fractional coordinates of all 34 atoms:
1 Sr 0.0000 0.0000 0.0000  12 O 2.79-3.05
2 Sr 0.0000 0.1626 0.1626  8 O 2.73-2.83
3 Sr 0.5000 0.4980 0.4980  8 O 2.72-2.83
4 Sr 0.5000 0.6627 0.6627  8 O 2.73-2.83
5 Ce 0.5000 0.3726 0.3726  4 O 2.26
6 Nd 0.0000 0.2865 0.2865  8 O 2.38-2.62
7 Nd 0.0000 0.8759 0.8759  8 O 2.39-2.60
8 Nd 0.5000 0.7865 0.7865  8 O 2.38-2.62
9 Nb 0.0000 0.5802 0.5802  6 O 1.98-2.00
10 Nb 0.5000 0.0802 0.0802  6 O 1.98-1.99
11 Cu 0.0000 0.4378 0.4378  5 O 1.98-2.14
12 Cu 0.0000 0.7227 0.7227  5 O 1.98-2.15
13 Cu 0.5000 0.2226 0.2226  5 O 1.99-2.15
14 Cu 0.5000 0.9378 0.9378  5 O 1.98-2.14
15 O 0.0000 0.5115 0.5115  1 Nb 2.00, 1 Cu 2.14
16 O 0.0000 0.6486 0.6486  1 Nb 1.99, 1 Cu 2.15
17 O 0.2495 0.3294 0.8304  2 Nb 1.98
18 O 0.2498 0.4778 0.9773  2 Cu 1.98-1.99
19 O 0.2495 0.8304 0.3294  2 Nb 1.98
20 O 0.2498 0.9773 0.4778  2 Cu 1.98-1.99
21 O 0.2529 0.1857 0.6801  2 Cu 1.98
22 O 0.2529 0.6801 0.1857  2 Cu 1.98
23 O 0.2560 0.0882 0.5762  1 Ce 2.26, 3 Nd 2.38-2.39
24 O 0.2560 0.5762 0.0882  1 Ce 2.26, 3 Nd 2.38-2.39
25 O 0.5000 0.0115 0.0115  1 Nb 1.99, 1 Cu 2.14
26 O 0.5000 0.1486 0.1486  1 Nb 1.99, 1 Cu 2.15
27 O 0.7440 0.0882 0.5762  1 Ce 2.26, 3 Nd 2.38-2.39
28 O 0.7440 0.5762 0.0882  1 Ce 2.26, 3 Nd 2.38-2.39
29 O 0.7471 0.1857 0.6801  2 Cu 1.98
30 O 0.7471 0.6801 0.1857  2 Cu 1.98
31 O 0.7505 0.3294 0.8304  2 Nb 1.98
32 O 0.7502 0.4778 0.9773  2 Cu 1.98-1.99
33 O 0.7505 0.8304 0.3294  2 Nb 1.98
34 O 0.7502 0.9773 0.4778  2 Cu 1.98-1.99

=====

Record 4
Density functional theory data (GGA-PBE) for an optimized crystal structure of Sr4CePr3Nb2Cu4O20.

Results
Space group = Amm2
Uncorrected energy = -7.21 eV per atom

Unit cell a=5.6084 b=14.8270 c=14.8270 alpha=21.80 beta=90.00 gamma=90.00
With the nearest neighbours (Å) after each atom.
Fractional coordinates of all 34 atoms:
1 Sr 0.0000 0.0000 0.0000  12 O 2.80-3.04
2 Sr 0.0000 0.1616 0.1616  8 O 2.73-2.83
3 Sr 0.5000 0.4974 0.4974  8 O 2.71-2.83
4 Sr 0.5000 0.6617 0.6617  8 O 2.73-2.83
5 Ce 0.5000 0.3722 0.3722  4 O 2.26
6 Pr 0.0000 0.2856 0.2856  8 O 2.40-2.63
7 Pr 0.0000 0.8760 0.8760  8 O 2.41-2.61
8 Pr 0.5000 0.7856 0.7856  8 O 2.40-2.63
9 Nb 0.0000 0.5795 0.5795  6 O 1.98-1.99
10 Nb 0.5000 0.0795 0.0795  6 O 1.98-1.99
11 Cu 0.0000 0.4379 0.4379  5 O 1.99-2.13
12 Cu 0.0000 0.7214 0.7214  5 O 1.99-2.15
13 Cu 0.5000 0.2213 0.2213  5 O 1.99-2.14
14 Cu 0.5000 0.9379 0.9379  5 O 1.99-2.13
15 O 0.0000 0.5111 0.5111  1 Nb 1.99, 1 Cu 2.13
16 O 0.0000 0.6476 0.6476  1 Nb 1.98, 1 Cu 2.15
17 O 0.2494 0.3285 0.8298  2 Nb 1.98
18 O 0.2494 0.8298 0.3285  2 Nb 1.98
19 O 0.2498 0.4764 0.9759  2 Cu 1.99
20 O 0.2498 0.9759 0.4764  2 Cu 1.99
21 O 0.2535 0.1865 0.6795  2 Cu 1.99
22 O 0.2535 0.6795 0.1865  2 Cu 1.99
23 O 0.2569 0.0889 0.5750  1 Ce 2.26, 3 Pr 2.40-2.41
24 O 0.2569 0.5750 0.0889  1 Ce 2.26, 3 Pr 2.40-2.41
25 O 0.5000 0.0111 0.0111  1 Nb 1.99, 1 Cu 2.13
26 O 0.5000 0.1477 0.1477  1 Nb 1.98, 1 Cu 2.14
27 O 0.7431 0.0889 0.5750  1 Ce 2.26, 3 Pr 2.40-2.41
28 O 0.7431 0.5750 0.0889  1 Ce 2.26, 3 Pr 2.40-2.41
29 O 0.7465 0.1865 0.6795  2 Cu 1.99
30 O 0.7465 0.6795 0.1865  2 Cu 1.99
31 O 0.7502 0.4764 0.9759  2 Cu 1.99
32 O 0.7502 0.9759 0.4764  2 Cu 1.99
33 O 0.7506 0.3285 0.8298  2 Nb 1.98
34 O 0.7506 0.8298 0.3285  2 Nb 1.98

=====

Record 5
Density functional theory data (GGA-PBE) for an optimized crystal structure of Sr4CeSm3Nb2Cu4O20.

Results
Space group = P4mm
Uncorrected energy = -7.22 eV per atom

Unit cell a=3.9358 b=3.9358 c=29.1695 alpha=90.00 beta=90.00 gamma=90.00
With the nearest neighbours (Å) after each atom.
Fractional coordinates of all 34 atoms:
1 Sr 0.0000 0.0000 0.0000  8 O 2.67-2.83
2 Sr 0.0000 0.0000 0.1642  12 O 2.80-2.98
3 Sr 0.5000 0.5000 0.5057  12 O 2.79-2.94
4 Sr 0.5000 0.5000 0.6702  8 O 2.64-2.85
5 Ce 0.5000 0.5000 0.3770  8 O 2.31-2.52
6 Sm 0.0000 0.0000 0.2889  8 O 2.39-2.53
7 Sm 0.0000 0.0000 0.8760  4 O 2.31
8 Sm 0.5000 0.5000 0.7937  4 O 2.30
9 Nb 0.0000 0.0000 0.5826  6 O 1.95-2.06
10 Nb 0.5000 0.5000 0.0851  6 O 1.97-2.03
11 Cu 0.0000 0.0000 0.4394  5 O 1.98-2.12
12 Cu 0.0000 0.0000 0.7288  4 O 1.97
13 Cu 0.5000 0.5000 0.2275  5 O 1.98-2.13
14 Cu 0.5000 0.5000 0.9415  4 O 1.97
15 O 0.0000 0.0000 0.5120  1 Nb 2.06, 1 Cu 2.12
16 O 0.0000 0.0000 0.6494  1 Nb 1.95
17 O 0.0000 0.5000 0.0874  2 Nb 1.97
18 O 0.0000 0.5000 0.2346  2 Cu 1.98
19 O 0.0000 0.5000 0.3354  2 Ce 2.31, 2 Sm 2.39
20 O 0.0000 0.5000 0.4309  2 Cu 1.98
21 O 0.0000 0.5000 0.5787  2 Nb 1.97
22 O 0.0000 0.5000 0.7308  2 Cu 1.97
23 O 0.0000 0.5000 0.8347  4 Sm 2.30-2.31
24 O 0.0000 0.5000 0.9382  2 Cu 1.97
25 O 0.5000 0.0000 0.0874  2 Nb 1.97
26 O 0.5000 0.0000 0.2346  2 Cu 1.98
27 O 0.5000 0.0000 0.3354  2 Ce 2.31, 2 Sm 2.39
28 O 0.5000 0.0000 0.4309  2 Cu 1.98
29 O 0.5000 0.0000 0.5787  2 Nb 1.97
30 O 0.5000 0.0000 0.7308  2 Cu 1.97
31 O 0.5000 0.0000 0.8347  4 Sm 2.30-2.31
32 O 0.5000 0.0000 0.9382  2 Cu 1.97
33 O 0.5000 0.5000 0.0176  1 Nb 1.97
34 O 0.5000 0.5000 0.1546  1 Nb 2.03, 1 Cu 2.13

=====

Record 6
Density functional theory data (GGA-PBE) for an optimized crystal structure of CeNd2Cu.

Results
Space group = P4/mmm
Energy above the lowest structure with this stoichiometry = 0 meV/atom
Uncorrected energy = -4.90 eV per atom
ΔH_f (0 K) = -7 meV per atom

Unit cell a=3.5996 b=3.5996 c=8.4590 alpha=90.00 beta=90.00 gamma=90.00
With the nearest neighbours (Å) after each atom.
Fractional coordinates of all 4 atoms:
1 Ce 0.0000 0.0000 0.0000  8 Nd 3.54, 4 Ce 3.60
2 Nd 0.5000 0.5000 0.2907  4 Cu 3.10
3 Nd 0.5000 0.5000 0.7093  4 Cu 3.10
4 Cu 0.0000 0.0000 0.5000  8 Nd 3.10

=====

Record 7
Density functional theory data (GGA-PBE) for an optimized crystal structure of CeNdCu3.

Results
Space group = Cmcm
Uncorrected energy = -4.74 eV per atom
ΔH_f (0 K) = -141 meV per atom

Unit cell a=13.5356 b=13.5356 c=4.3656 alpha=90.00 beta=90.00 gamma=164.81
With the nearest neighbours (Å) after each atom.
Fractional coordinates of all 10 atoms:
1 Ce 0.0698 0.9302 0.7500  12 Cu 3.06-3.12
2 Ce 0.9302 0.0698 0.2500  12 Cu 3.06-3.12
3 Nd 0.2027 0.7973 0.2500  6 Cu 2.95-3.00
4 Nd 0.7973 0.2027 0.7500  6 Cu 2.95-3.00
5 Cu 0.3351 0.6649 0.2500  2 Cu 2.56
6 Cu 0.3849 0.6151 0.7500  3 Cu 2.48-2.56
7 Cu 0.4773 0.5227 0.7500  3 Cu 2.48-2.50
8 Cu 0.5227 0.4773 0.2500  3 Cu 2.48-2.50
9 Cu 0.6151 0.3849 0.2500  3 Cu 2.48-2.56
10 Cu 0.6649 0.3351 0.7500  2 Cu 2.56

=====

Record 8
Density functional theory data (GGA-PBE) for an optimized crystal structure of Ce2NdCu.

Results
Space group = P4/mmm
Energy above the lowest structure with this stoichiometry = 0 meV/atom
Uncorrected energy = -5.13 eV per atom
ΔH_f (0 K) = 51 meV per atom

Unit cell a=3.6245 b=3.6245 c=8.2019 alpha=90.00 beta=90.00 gamma=90.00
With the nearest neighbours (Å) after each atom.
Fractional coordinates of all 4 atoms:
1 Ce 0.0000 0.0000 0.1887  4 Cu 2.99, 1 Ce 3.10
2 Ce 0.0000 0.0000 0.8113  4 Cu 2.99, 1 Ce 3.10
3 Nd 0.5000 0.5000 0.5000  8 Ce 3.62, 4 Nd 3.62
4 Cu 0.5000 0.5000 0.0000  8 Ce 2.99

=====

Record 9
Density functional theory data (GGA-PBE) for an optimized crystal structure of CeNd2Cu.

Results
Space group = R3m
Energy above the lowest structure with this stoichiometry = 136 meV/atom
Uncorrected energy = -4.76 eV per atom
ΔH_f (0 K) = 129 meV per atom

Unit cell a=10.3901 b=10.3901 c=10.3901 alpha=20.19 beta=20.19 gamma=20.19
With the nearest neighbours (Å) after each atom.
Fractional coordinates of all 4 atoms:
1 Ce 0.0000 0.0000 0.0000  6 Nd 3.63-3.66, 6 Ce 3.64
2 Nd 0.5697 0.5697 0.5697  3 Cu 2.98
3 Nd 0.7649 0.7649 0.7649  3 Cu 2.97
4 Cu 0.1672 0.1672 0.1672  6 Nd 2.97-2.98

=====

Record 10
Density functional theory data (GGA-PBE) for an optimized crystal structure of CeNd2Cu.

Results
Space group = R-3m
Energy above the lowest structure with this stoichiometry = 273 meV/atom
Uncorrected energy = -4.63 eV per atom
ΔH_f (0 K) = 266 meV per atom

Unit cell a=11.3594 b=11.3594 c=11.3594 alpha=17.33 beta=17.33 gamma=17.33
With the nearest neighbours (Å) after each atom.
Fractional coordinates of all 4 atoms:
1 Ce 0.0000 0.0000 0.0000  2 Nd 3.37, 6 Ce 3.42
2 Nd 0.1004 0.1004 0.1004  3 Cu 2.97
3 Nd 0.8996 0.8996 0.8996  3 Cu 2.97
4 Cu 0.5000 0.5000 0.5000  6 Nd 2.97